P | ! LuPuHg2 | Alexandria via LeMat-Bulk | GGA-PBE | relaxed; values from VASP
&SYSTEM
  ibrav = 0, nat = 4, ntyp = 3
/
ATOMIC_SPECIES
Hg 200.59 Hg.upf
Lu 174.97 Lu.upf
Pu 244.00 Pu.upf
ATOMIC_POSITIONS angstrom
Hg 0.000 0.000 1.800
Hg 0.000 0.000 6.053
Lu 1.796 1.796 0.000
Pu 1.796 1.796 3.927
CELL_PARAMETERS angstrom
3.592 0.000 0.000
0.000 3.592 0.000
0.000 0.000 7.854
! magnetic moment: 5.78 μB per cell



Q | ! LuPuHg2 | Alexandria via LeMat-Bulk | GGA-PBE | relaxed; values from VASP
&SYSTEM
  ibrav = 0, nat = 4, ntyp = 3
/
ATOMIC_SPECIES
Pu 244.00 Pu.upf
Lu 174.97 Lu.upf
Hg 200.59 Hg.upf
ATOMIC_POSITIONS angstrom
Pu 0.000 0.000 0.000
Lu 1.492 -2.491 5.743
Hg 0.746 -1.246 2.871
Hg 2.239 -3.737 8.614
CELL_PARAMETERS angstrom
-1.506 -3.376 3.734
3.602 -2.717 2.693
0.888 1.110 5.059
! magnetic moment: 5.81 μB per cell



P wins, 26 meV per atom ahead of the next structure.



P | ! LuPuHg | Alexandria via LeMat-Bulk | GGA-PBE | relaxed; values from VASP
&SYSTEM
  ibrav = 0, nat = 3, ntyp = 3
/
ATOMIC_SPECIES
Lu 174.97 Lu.upf
Hg 200.59 Hg.upf
Pu 244.00 Pu.upf
ATOMIC_POSITIONS angstrom
Lu 3.108 -0.948 2.704
Hg 0.376 0.405 3.326
Pu 0.061 -0.019 0.053
CELL_PARAMETERS angstrom
-0.320 3.128 1.465
-2.329 -1.281 2.229
6.195 -2.409 2.389
! magnetic moment: 6.54 μB per cell



Q | ! LuPuHg | Alexandria via LeMat-Bulk | GGA-PBE | relaxed; values from VASP
&SYSTEM
  ibrav = 0, nat = 3, ntyp = 3
/
ATOMIC_SPECIES
Hg 200.59 Hg.upf
Pu 244.00 Pu.upf
Lu 174.97 Lu.upf
ATOMIC_POSITIONS angstrom
Hg -2.977 -0.772 0.688
Pu -2.910 0.858 -2.097
Lu -0.135 0.216 0.015
CELL_PARAMETERS angstrom
-1.773 2.843 0.194
-1.086 -0.331 -5.074
-3.163 -2.210 3.485
! magnetic moment: 6.09 μB per cell



P wins, 98 meV per atom ahead of the next structure.



P | ! Lu2HgRh | Alexandria via LeMat-Bulk | GGA-PBE | relaxed; values from VASP
&SYSTEM
  ibrav = 0, nat = 4, ntyp = 3
/
ATOMIC_SPECIES
Lu 174.97 Lu.upf
Hg 200.59 Hg.upf
Rh 102.91 Rh.upf
ATOMIC_POSITIONS angstrom
Lu 0.000 0.000 5.748
Hg 1.712 1.712 3.685
Rh 1.712 1.712 0.000
Lu 0.000 0.000 1.623
CELL_PARAMETERS angstrom
3.424 0.000 0.000
0.000 3.424 0.000
0.000 0.000 7.371
! magnetic moment: 0.00 μB per cell



Q | ! Lu2HgRh | Alexandria via LeMat-Bulk | GGA-PBE | relaxed; values from VASP
&SYSTEM
  ibrav = 0, nat = 4, ntyp = 3
/
ATOMIC_SPECIES
Lu 174.97 Lu.upf
Rh 102.91 Rh.upf
Hg 200.59 Hg.upf
ATOMIC_POSITIONS angstrom
Lu -6.881 -5.287 2.709
Rh 0.000 0.000 0.000
Hg -4.588 -3.524 1.806
Lu -2.294 -1.762 0.903
CELL_PARAMETERS angstrom
-3.471 -0.654 3.466
-4.429 -1.822 -1.247
-1.275 -4.574 1.393
! magnetic moment: 0.00 μB per cell



P wins, 101 meV per atom ahead of the next structure.



P | ! Lu2HgRu | Alexandria via LeMat-Bulk | GGA-PBE | relaxed; values from VASP
&SYSTEM
  ibrav = 0, nat = 4, ntyp = 3
/
ATOMIC_SPECIES
Ru 101.07 Ru.upf
Hg 200.59 Hg.upf
Lu 174.97 Lu.upf
ATOMIC_POSITIONS angstrom
Ru 4.926 2.844 2.011
Hg 0.000 0.000 0.000
Lu 7.389 4.266 3.016
Lu 2.463 1.422 1.005
CELL_PARAMETERS angstrom
4.926 0.000 0.000
2.463 4.266 0.000
2.463 1.422 4.022
! magnetic moment: 0.00 μB per cell



Q | ! Lu2HgRu | Alexandria via LeMat-Bulk | GGA-PBE | relaxed; values from VASP
&SYSTEM
  ibrav = 0, nat = 4, ntyp = 3
/
ATOMIC_SPECIES
Lu 174.97 Lu.upf
Ru 101.07 Ru.upf
Hg 200.59 Hg.upf
ATOMIC_POSITIONS angstrom
Lu 0.000 0.000 5.747
Lu 0.000 0.000 1.617
Ru 1.703 1.703 0.000
Hg 1.703 1.703 3.682
CELL_PARAMETERS angstrom
3.406 0.000 0.000
0.000 3.406 0.000
0.000 0.000 7.364
! magnetic moment: 0.00 μB per cell



Q wins, 150 meV per atom ahead of the next structure.



P | ! Lu2ScHg | Alexandria via LeMat-Bulk | GGA-PBE | relaxed; values from VASP
&SYSTEM
  ibrav = 0, nat = 4, ntyp = 3
/
ATOMIC_SPECIES
Sc 44.96 Sc.upf
Lu 174.97 Lu.upf
Hg 200.59 Hg.upf
ATOMIC_POSITIONS angstrom
Sc 2.599 -3.093 4.965
Lu 1.299 -1.546 2.483
Lu 3.898 -4.639 7.448
Hg 0.000 0.000 0.000
CELL_PARAMETERS angstrom
-0.446 -4.143 3.154
4.286 -2.430 1.745
1.358 0.388 5.032
! magnetic moment: 0.78 μB per cell



Q | ! Lu2ScHg | Alexandria via LeMat-Bulk | GGA-PBE | relaxed; values from VASP
&SYSTEM
  ibrav = 0, nat = 4, ntyp = 3
/
ATOMIC_SPECIES
Lu 174.97 Lu.upf
Hg 200.59 Hg.upf
Sc 44.96 Sc.upf
ATOMIC_POSITIONS angstrom
Lu 0.000 0.000 2.002
Hg 1.744 1.744 0.000
Sc 1.744 1.744 4.243
Lu 0.000 0.000 6.483
CELL_PARAMETERS angstrom
3.487 0.000 0.000
0.000 3.487 0.000
0.000 0.000 8.486
! magnetic moment: 0.00 μB per cell



R | ! Lu2ScHg | Alexandria via LeMat-Bulk | GGA-PBE | relaxed; values from VASP
&SYSTEM
  ibrav = 0, nat = 4, ntyp = 3
/
ATOMIC_SPECIES
Lu 174.97 Lu.upf
Sc 44.96 Sc.upf
Hg 200.59 Hg.upf
ATOMIC_POSITIONS angstrom
Lu 2.534 -6.121 -0.337
Sc 3.778 -5.213 2.549
Hg 0.000 0.000 0.000
Lu 5.021 -4.304 5.434
CELL_PARAMETERS angstrom
-0.989 -3.193 -0.558
1.756 -1.970 -2.126
6.789 -5.262 7.782
! magnetic moment: 0.00 μB per cell



Q wins, 162 meV per atom ahead of the next structure.



P | ! LuSc2Hg | Alexandria via LeMat-Bulk | GGA-PBE | relaxed; values from VASP
&SYSTEM
  ibrav = 0, nat = 4, ntyp = 3
/
ATOMIC_SPECIES
Sc 44.96 Sc.upf
Lu 174.97 Lu.upf
Hg 200.59 Hg.upf
ATOMIC_POSITIONS angstrom
Sc 5.103 2.946 7.752
Lu 3.402 1.964 5.035
Hg 0.000 0.000 0.000
Sc 1.701 0.982 2.319
CELL_PARAMETERS angstrom
3.402 0.000 0.000
1.701 2.946 0.000
1.701 0.982 10.071
! magnetic moment: 0.00 μB per cell



Q | ! LuSc2Hg | Alexandria via LeMat-Bulk | GGA-PBE | relaxed; values from VASP
&SYSTEM
  ibrav = 0, nat = 4, ntyp = 3
/
ATOMIC_SPECIES
Sc 44.96 Sc.upf
Lu 174.97 Lu.upf
Hg 200.59 Hg.upf
ATOMIC_POSITIONS angstrom
Sc 0.000 0.000 2.264
Lu 2.303 2.264 2.264
Hg 2.303 0.000 0.000
Sc 0.000 2.264 0.000
CELL_PARAMETERS angstrom
4.606 0.000 0.000
0.000 4.528 0.000
0.000 0.000 4.528
! magnetic moment: 0.91 μB per cell



Q wins, 81 meV per atom ahead of the next structure.



P | ! SmLuHg2 | Alexandria via LeMat-Bulk | GGA-PBE | relaxed; values from VASP
&SYSTEM
  ibrav = 0, nat = 4, ntyp = 3
/
ATOMIC_SPECIES
Lu 174.97 Lu.upf
Hg 200.59 Hg.upf
Sm 150.36 Sm.upf
ATOMIC_POSITIONS angstrom
Lu 0.996 -1.413 -1.940
Hg -0.361 -4.824 3.328
Hg -0.108 -1.446 0.997
Sm 0.761 -4.548 0.222
CELL_PARAMETERS angstrom
-1.399 -1.858 -2.845
3.391 -0.968 -1.035
-0.470 -6.270 4.325
! magnetic moment: 0.38 μB per cell



Q | ! SmLuHg2 | Alexandria via LeMat-Bulk | GGA-PBE | relaxed; values from VASP
&SYSTEM
  ibrav = 0, nat = 4, ntyp = 3
/
ATOMIC_SPECIES
Hg 200.59 Hg.upf
Lu 174.97 Lu.upf
Sm 150.36 Sm.upf
ATOMIC_POSITIONS angstrom
Hg -7.025 0.635 6.641
Hg -2.342 0.212 2.214
Lu 0.000 0.000 0.000
Sm -4.683 0.423 4.427
CELL_PARAMETERS angstrom
-5.177 0.680 0.740
-2.457 -2.526 3.924
-1.733 2.691 4.191
! magnetic moment: 0.00 μB per cell



P wins, 14 meV per atom ahead of the next structure.